[1]
A plane-wave DFT calculation with PBE-GGA was carried out for a relaxed structure of CeP2O6.

a = 6.0446 Å, b = 6.0446 Å, c = 5.5887 Å
α = 90.00°, β = 90.00°, γ = 120.00°
Last column: nearest neighbours and their distance in Å.
Space group P-3m1 (No. 164)
Unique sites:
Ce (0.0000, 0.0000, 0.0000)  6 O 2.34
P (0.3333, 0.6667, 0.1589)  3 O 1.53
O (0.1903, 0.3806, 0.2182)  1 P 1.53

Output
Crystal system: trigonal
Uncorrected energy (eV/cell): -66.36
DOS at the Fermi energy (states/eV per cell): 6.702
ΔE_f (raw) (eV/atom): -2.207

[2]
A plane-wave DFT calculation with PBE-GGA was carried out for a relaxed structure of Ce6P5O.

a = 6.9426 Å, b = 12.0114 Å, c = 6.9386 Å
α = 90.00°, β = 109.53°, γ = 90.00°
Last column: nearest neighbours and their distance in Å.
Space group C2/m (No. 12)
Unique sites:
Ce (0.2377, 0.0000, 0.2573)  1 O 2.72, 5 P 2.84-2.95
Ce (0.2390, 0.1592, 0.7400)  1 O 2.71, 5 P 2.83-2.90
P (0.0000, 0.1725, 0.0000)  6 Ce 2.83-2.90
P (0.0000, 0.3339, 0.5000)  6 Ce 2.84
P (0.0000, 0.5000, 0.0000)  6 Ce 2.83-2.95
O (0.0000, 0.0000, 0.5000)  6 Ce 2.71-2.72

Output
Crystal system: monoclinic
Uncorrected energy (eV/cell): -175.23
DOS at the Fermi energy (states/eV per cell): 43.175
ΔE_f (raw) (eV/atom): -1.667

[3]
A plane-wave DFT calculation with PBE-GGA was carried out for a relaxed structure of CeP2O7.

a = 8.9049 Å, b = 8.9049 Å, c = 8.9049 Å
α = 90.00°, β = 90.00°, γ = 90.00°
Last column: nearest neighbours and their distance in Å.
Space group Pa-3 (No. 205)
Unique sites:
Ce (0.0000, 0.0000, 0.0000)  6 O 2.24
P (0.1028, 0.6028, 0.8972)  4 O 1.53-1.59
O (0.0000, 0.0000, 0.5000)  2 P 1.59
O (0.0565, 0.7347, 0.4275)  1 P 1.53

Output
Crystal system: cubic
Uncorrected energy (eV/cell): -310.60
ΔE_f (raw) (eV/atom): -2.619

[4]
A plane-wave DFT calculation with PBE-GGA was carried out for a relaxed structure of Ce4P3O2.

a = 12.8545 Å, b = 3.9633 Å, c = 8.8759 Å
α = 90.00°, β = 124.21°, γ = 90.00°
Last column: nearest neighbours and their distance in Å.
Space group C2/m (No. 12)
Unique sites:
Ce (0.0955, 0.0000, 0.3907)  3 O 2.38-2.39
Ce (0.1862, 0.5000, 0.1110)  1 O 2.25
P (0.0000, 0.0000, 0.0000)  6 Ce 2.82-2.96
P (0.1176, 0.5000, 0.7195)  5 Ce 2.88-3.07
O (0.1871, 0.5000, 0.3657)  4 Ce 2.25-2.39

Output
Crystal system: monoclinic
Uncorrected energy (eV/cell): -137.62
DOS at the Fermi energy (states/eV per cell): 33.197
ΔE_f (raw) (eV/atom): -2.103

Question: ΔE_f (raw) of number 4 (Ce4P3O2)?
Answer: -2.103 eV/atom

Question: The lowest ΔE_f (raw) belongs to which entry?
Answer: CeP2O7

Question: What is the uncorrected energy in the second record?
Answer: -175.23 eV/cell

Repeat the second record exactly.
A plane-wave DFT calculation with PBE-GGA was carried out for a relaxed structure of Ce6P5O.

a = 6.9426 Å, b = 12.0114 Å, c = 6.9386 Å
α = 90.00°, β = 109.53°, γ = 90.00°
Last column: nearest neighbours and their distance in Å.
Space group C2/m (No. 12)
Unique sites:
Ce (0.2377, 0.0000, 0.2573)  1 O 2.72, 5 P 2.84-2.95
Ce (0.2390, 0.1592, 0.7400)  1 O 2.71, 5 P 2.83-2.90
P (0.0000, 0.1725, 0.0000)  6 Ce 2.83-2.90
P (0.0000, 0.3339, 0.5000)  6 Ce 2.84
P (0.0000, 0.5000, 0.0000)  6 Ce 2.83-2.95
O (0.0000, 0.0000, 0.5000)  6 Ce 2.71-2.72

Output
Crystal system: monoclinic
Uncorrected energy (eV/cell): -175.23
DOS at the Fermi energy (states/eV per cell): 43.175
ΔE_f (raw) (eV/atom): -1.667